1.
CaSb5 | SCAN | single point on PBEsol structure

abc: 6.230 6.230 5.353
angles: 90.00 90.00 120.00
Sites, in units of the cell vectors:
Ca 0.000 0.000 0.000
Sb 0.000 0.500 0.500
Sb 0.333 0.667 0.000
Sb 0.500 0.000 0.500
Sb 0.500 0.500 0.500
Sb 0.667 0.333 0.000

Crystal system: hexagonal
Formation energy (no corrections), eV per atom: 0.0302


2.
YMnNb2Re | SCAN | single point on PBEsol structure

abc: 4.585 4.585 4.597
angles: 90.00 90.00 90.00
Sites, in units of the cell vectors:
Y 0.000 0.000 0.000
Mn 0.500 0.500 0.500
Nb 0.000 0.500 0.500
Nb 0.500 0.000 0.500
Re 0.500 0.500 0.000

Crystal system: tetragonal
DFT formation energy, eV per formula unit: 2.85


3.
Tc3Br | SCAN | single point on PBEsol structure

abc: 2.844 2.844 8.571
angles: 90.00 90.00 120.00
Sites, in units of the cell vectors:
Tc 0.000 0.000 0.000
Tc 0.333 0.667 0.240
Tc 0.333 0.667 0.760
Br 0.000 0.000 0.500

Crystal system: hexagonal
Formation energy (no corrections), eV per atom: 0.5404


4.
AgAu2Br | SCAN | single point on PBEsol structure

abc: 3.914 3.926 4.927
angles: 90.00 90.00 90.00
Sites, in units of the cell vectors:
Ag 0.000 0.000 0.000
Au 0.000 0.500 0.500
Au 0.500 0.000 0.500
Br 0.500 0.500 0.000

Offset from the most stable computed form, kJ/mol of atoms: 11.1
Crystal system: orthorhombic
Formation energy (no corrections), eV per atom: 0.1958


5.
ZnAsIr2 | SCAN | single point on PBEsol structure

abc: 8.299 2.869 4.883
angles: 90.00 100.27 90.00
Sites, in units of the cell vectors:
Zn 0.000 0.000 0.000
Zn 0.500 0.500 0.000
As 0.000 0.500 0.500
As 0.500 0.000 0.500
Ir 0.249 0.500 0.254
Ir 0.251 0.000 0.746
Ir 0.749 0.000 0.254
Ir 0.751 0.500 0.746

Offset from the most stable computed form, kJ/mol of atoms: 0.0
Crystal system: monoclinic
DFT formation energy, eV per formula unit: -0.20


6.
LaYRh4 | SCAN | single point on PBEsol structure

abc: 5.310 5.310 5.310
angles: 60.00 60.00 60.00
Sites, in units of the cell vectors:
La 0.000 0.000 0.000
Y 0.250 0.250 0.250
Rh 0.126 0.625 0.625
Rh 0.625 0.126 0.625
Rh 0.625 0.625 0.126
Rh 0.625 0.625 0.625

Crystal system: cubic
DFT formation energy, eV per formula unit: -4.67